No. 1
# CsSnHg3

A geometry-optimized CsSnHg3 structure (GGA-PBE, Alexandria).

Computed properties:
The calculation puts the magnetic moment at 0.000 μB/atom. For the energy of formation, the calculation gives -0.172 eV/atom.

abc: 6.9459 6.9427 5.5271
angles: 66.58 66.52 46.90
Fractional positions:
Cs  0.0000  0.0000  0.0000
Sn  0.3575  0.3575  0.6425
Hg  0.2607  0.2607  0.2393
Hg  0.6206  0.6206  0.3794
Hg  0.7607  0.7607  0.7393

---

No. 2
# LaErPt10

A geometry-optimized LaErPt10 structure (GGA-PBE, Alexandria).

Computed properties:
The calculation puts the magnetic moment at 0.000 μB/atom. For the energy of formation, the calculation gives -0.722 eV/atom.

abc: 4.4522 5.4065 9.3260
angles: 90.00 90.00 90.00
Fractional positions:
La  0.0000  0.0000  0.0000
Er  0.0000  0.5000  0.5000
Pt  0.0000  0.0000  0.3375
Pt  0.0000  0.0000  0.6625
Pt  0.0000  0.5000  0.1729
Pt  0.0000  0.5000  0.8271
Pt  0.5000  0.0000  0.5000
Pt  0.5000  0.2517  0.2534
Pt  0.5000  0.2517  0.7466
Pt  0.5000  0.5000  0.0000
Pt  0.5000  0.7483  0.2534
Pt  0.5000  0.7483  0.7466